VASP calculation (PBE+U) on a relaxed structure of TmVClO4.

Calculated values
**Total energy**: -7.040 eV per atom
**Volume**: 17.42 A^3/atom

Cell: 11.2194 6.6101 6.7511 Å, 90.00 103.10 90.00°
Last column: nearest neighbours and their distance in Å.
Space group C2/m (No. 12)
Symmetry-distinct sites (fractional):
Tm: 0.2109 0.0000 0.3579 (multiplicity 4)  6 O 2.15-2.39
V: 0.1433 0.0000 0.7801 (multiplicity 4)  4 O 1.70-1.77
Cl: 0.0256 0.5000 0.3679 (multiplicity 4)  1 Cl 1.99
O: 0.0146 0.0000 0.2615 (multiplicity 4)  1 V 1.73
O: 0.1953 0.1996 0.6461 (multiplicity 8)  1 V 1.77
O: 0.2116 0.0000 0.0326 (multiplicity 4)  1 V 1.70